First-principles (SCAN) data for ZnCd2Ni2 at its PBEsol-relaxed geometry, as listed in Alexandria via LeMat-Bulk.

Values from the calculation:
Formation energy from the elements   11 meV/atom
N(E_F)   6.5 states/eV per cell
Space-group type   P4/mbm (127)

a = 6.113 Å, b = 6.113 Å, c = 4.012 Å
α = 90.00°, β = 90.00°, γ = 90.00°
Fractional positions:
Zn: 0.000 0.000 0.000
Zn: 0.500 0.500 0.000
Cd: 0.168 0.332 0.500
Cd: 0.332 0.832 0.500
Cd: 0.668 0.168 0.500
Cd: 0.832 0.668 0.500
Ni: 0.135 0.635 0.000
Ni: 0.365 0.135 0.000
Ni: 0.635 0.865 0.000
Ni: 0.865 0.365 0.000